First-principles (SCAN) data for a PBEsol-optimized structure of Cu2AsPt, as listed in Alexandria via LeMat-Bulk.

Summary:
The size of the total moment is 0.00 μB per formula unit. The total energy comes out at -30.29 eV per atom. Its formation energy is -0.095 eV/atom.

a = 2.8497 Å, b = 4.1989 Å, c = 4.5359 Å
α = 90.00°, β = 90.00°, γ = 90.00°
Last column: nearest neighbours and their distance in Å.
Space group Pmm2 (No. 25)
Asymmetric unit:
Cu 0.0000 0.0000 0.0000  2 Cu 2.51, 4 As 2.62-2.74, 4 Pt 2.68
Cu 0.0000 0.5000 0.3050  2 Cu 2.51, 4 Pt 2.66-2.70, 4 As 2.66
As 0.5000 0.0000 0.4842  2 Pt 2.57, 8 Cu 2.62-2.74, 2 As 2.85
Pt 0.5000 0.5000 0.8094  2 As 2.57, 8 Cu 2.66-2.70, 2 Pt 2.85